[1]
# Co2CuAg (GGA-PBE, optimized geometry)
# ΔE_f	357	meV per atom
# excess energy over the best structure of this formula in the dataset	0.160	eV/atom
data_Co2CuAg
_space_group_name_H-M_alt 'P 4/m m m'
_space_group_IT_number 123
_space_group_name_Hall '-P 4 2'
_cell_length_a 2.623
_cell_length_b 2.623
_cell_length_c 7.611
_cell_angle_alpha 90.00
_cell_angle_beta 90.00
_cell_angle_gamma 90.00
loop_
_atom_site_label
_atom_site_type_symbol
_atom_site_fract_x
_atom_site_fract_y
_atom_site_fract_z
Co1 Co 0.000 0.000 0.227
Cu1 Cu 0.500 0.500 0.000
Ag1 Ag 0.500 0.500 0.500



[2]
# Co2CuAg (GGA-PBE, optimized geometry)
# ΔE_f	379	meV per atom
# excess energy over the best structure of this formula in the dataset	0.182	eV/atom
data_Co2CuAg
_space_group_name_H-M_alt 'F -4 3 m'
_space_group_IT_number 216
_space_group_name_Hall 'F -4 2 3'
_cell_length_a 5.943
_cell_length_b 5.943
_cell_length_c 5.943
_cell_angle_alpha 90.00
_cell_angle_beta 90.00
_cell_angle_gamma 90.00
loop_
_atom_site_label
_atom_site_type_symbol
_atom_site_fract_x
_atom_site_fract_y
_atom_site_fract_z
Co1 Co 0.000 0.000 0.000
Co2 Co 0.250 0.250 0.250
Cu1 Cu 0.000 0.000 0.500
Ag1 Ag 0.250 0.250 0.750



[3]
# Co2CuAg (GGA-PBE, optimized geometry)
# ΔE_f	738	meV per atom
# excess energy over the best structure of this formula in the dataset	0.540	eV/atom
data_Co2CuAg
_space_group_name_H-M_alt 'I -4 2 d'
_space_group_IT_number 122
_space_group_name_Hall 'I -4 2bw'
_cell_length_a 6.811
_cell_length_b 6.811
_cell_length_c 4.961
_cell_angle_alpha 90.00
_cell_angle_beta 90.00
_cell_angle_gamma 90.00
loop_
_atom_site_label
_atom_site_type_symbol
_atom_site_fract_x
_atom_site_fract_y
_atom_site_fract_z
Co1 Co 0.226 0.750 0.125
Cu1 Cu 0.000 0.000 0.000
Ag1 Ag 0.000 0.000 0.500



[4]
# CoCu2Ag (GGA-PBE, optimized geometry)
# ΔE_f	319	meV per atom
# excess energy over the best structure of this formula in the dataset	0.126	eV/atom
data_CoCu2Ag
_space_group_name_H-M_alt 'P 4/m m m'
_space_group_IT_number 123
_space_group_name_Hall '-P 4 2'
_cell_length_a 3.796
_cell_length_b 3.796
_cell_length_c 3.694
_cell_angle_alpha 90.00
_cell_angle_beta 90.00
_cell_angle_gamma 90.00
loop_
_atom_site_label
_atom_site_type_symbol
_atom_site_fract_x
_atom_site_fract_y
_atom_site_fract_z
Co1 Co 0.000 0.000 0.000
Cu1 Cu 0.000 0.500 0.500
Ag1 Ag 0.500 0.500 0.000



[5]
# CoCuAg4 (GGA-PBE, optimized geometry)
# ΔE_f	629	meV per atom
data_CoCuAg4
_space_group_name_H-M_alt 'F -4 3 m'
_space_group_IT_number 216
_space_group_name_Hall 'F -4 2 3'
_cell_length_a 7.572
_cell_length_b 7.572
_cell_length_c 7.572
_cell_angle_alpha 90.00
_cell_angle_beta 90.00
_cell_angle_gamma 90.00
loop_
_atom_site_label
_atom_site_type_symbol
_atom_site_fract_x
_atom_site_fract_y
_atom_site_fract_z
Co1 Co 0.000 0.000 0.000
Cu1 Cu 0.250 0.250 0.750
Ag1 Ag 0.125 0.125 0.375



[6]
# CoCu2Ag (GGA-PBE, optimized geometry)
# ΔE_f	316	meV per atom
# excess energy over the best structure of this formula in the dataset	0.123	eV/atom
data_CoCu2Ag
_space_group_name_H-M_alt 'I m m m'
_space_group_IT_number 71
_space_group_name_Hall '-I 2 2'
_cell_length_a 2.700
_cell_length_b 4.504
_cell_length_c 8.843
_cell_angle_alpha 90.00
_cell_angle_beta 90.00
_cell_angle_gamma 90.00
loop_
_atom_site_label
_atom_site_type_symbol
_atom_site_fract_x
_atom_site_fract_y
_atom_site_fract_z
Co1 Co 0.000 0.000 0.000
Cu1 Cu 0.000 0.500 0.263
Ag1 Ag 0.000 0.000 0.500



Which of these has the lowest ΔE_f? number 6



What is the ΔE_f in the first record? 357 meV per atom



Please write out number 4 again, unchanged.
# CoCu2Ag (GGA-PBE, optimized geometry)
# ΔE_f	319	meV per atom
# excess energy over the best structure of this formula in the dataset	0.126	eV/atom
data_CoCu2Ag
_space_group_name_H-M_alt 'P 4/m m m'
_space_group_IT_number 123
_space_group_name_Hall '-P 4 2'
_cell_length_a 3.796
_cell_length_b 3.796
_cell_length_c 3.694
_cell_angle_alpha 90.00
_cell_angle_beta 90.00
_cell_angle_gamma 90.00
loop_
_atom_site_label
_atom_site_type_symbol
_atom_site_fract_x
_atom_site_fract_y
_atom_site_fract_z
Co1 Co 0.000 0.000 0.000
Cu1 Cu 0.000 0.500 0.500
Ag1 Ag 0.500 0.500 0.000